Below is a relaxed structure of NaSi2F, with properties calculated at the PBE-GGA level.

Properties
The total DFT energy (no corrections) is -3.19 eV per atom. As for the space group: No. 225. Its energy relative to the elements, uncorrected is 1.29 eV/f.u.

Lattice parameters (Å, degrees): 4.6050 4.6050 4.6050 60.00 60.00 60.00
Atoms (fractional coordinates):
Si (0.7500, 0.7500, 0.7500)
Si (0.2500, 0.2500, 0.2500)
F (0.0000, 0.0000, 0.0000)
Na (0.5000, 0.5000, 0.5000)

***

Below is a relaxed structure of Ta2Ni2Sb, with properties calculated at the PBE-GGA level.

Properties
The total DFT energy (no corrections) is -7.99 eV per atom. As for the space group: No. 127. Its energy relative to the elements, uncorrected is -0.58 eV/f.u.

Lattice parameters (Å, degrees): 6.5045 6.5045 3.7189 90.00 90.00 90.00
Atoms (fractional coordinates):
Sb (0.5000, 0.5000, 0.0000)
Ta (0.8337, 0.3337, 0.5000)
Ni (0.8726, 0.6274, 0.0000)
Ta (0.6663, 0.8337, 0.5000)
Ni (0.6274, 0.1274, 0.0000)
Ta (0.3337, 0.1663, 0.5000)
Ni (0.3726, 0.8726, 0.0000)
Sb (0.0000, 0.0000, 0.0000)
Ni (0.1274, 0.3726, 0.0000)
Ta (0.1663, 0.6663, 0.5000)

***

Below is a relaxed structure of CaPm2Rh, with properties calculated at the PBE-GGA level.

Properties
The total DFT energy (no corrections) is -4.94 eV per atom. As for the space group: No. 166. For the calculated formation energy, the calculation gives -0.227 eV/atom.

Lattice parameters (Å, degrees): 3.9478 3.9478 10.9767 79.64 79.64 60.00
Atoms (fractional coordinates):
Pm (0.1165, 0.1165, 0.6505)
Ca (0.0000, 0.0000, 0.0000)
Rh (0.5000, 0.5000, 0.5000)
Pm (0.8835, 0.8835, 0.3495)

***

Below is a relaxed structure of Tb4Nd9Hg11, with properties calculated at the PBE-GGA level.

Properties
The total DFT energy (no corrections) is -3.08 eV per atom. As for the space group: No. 65. For the calculated formation energy, the calculation gives -0.383 eV/atom.

Lattice parameters (Å, degrees): 3.6067 14.1485 14.1485 111.68 90.00 90.00
Atoms (fractional coordinates):
Nd (0.5000, 0.6303, 0.1437)
Hg (0.0000, 0.7331, 0.7331)
Nd (0.5000, 0.9583, 0.7931)
Hg (0.0000, 0.6369, 0.3631)
Hg (0.0000, 0.8339, 0.1661)
Tb (0.5000, 0.7469, 0.5567)
Hg (0.0000, 0.0602, 0.4154)
Hg (0.0000, 0.1661, 0.8339)
Nd (0.5000, 0.0417, 0.2069)
Nd (0.5000, 0.7931, 0.9583)
Hg (0.0000, 0.5846, 0.9398)
Hg (0.0000, 0.2669, 0.2669)
Nd (0.5000, 0.8563, 0.3697)
Tb (0.5000, 0.5567, 0.7469)
Hg (0.0000, 0.4154, 0.0602)
Hg (0.0000, 0.0000, 0.0000)
Nd (0.5000, 0.3697, 0.8563)
Tb (0.5000, 0.2531, 0.4433)
Nd (0.5000, 0.2069, 0.0417)
Nd (0.5000, 0.1437, 0.6303)
Hg (0.0000, 0.3631, 0.6369)
Nd (0.5000, 0.5000, 0.5000)
Tb (0.5000, 0.4433, 0.2531)
Hg (0.0000, 0.9398, 0.5846)

***

Below is a relaxed structure of CaPm2Cd2, with properties calculated at the PBE-GGA level.

Properties
The total DFT energy (no corrections) is -2.92 eV per atom. As for the space group: No. 11. For the calculated formation energy, the calculation gives -0.256 eV/atom.

Lattice parameters (Å, degrees): 5.4924 3.8167 14.3554 82.34 90.00 90.00
Atoms (fractional coordinates):
Pm (0.7500, 0.7656, 0.4693)
Cd (0.7500, 0.5486, 0.9044)
Ca (0.7500, 0.1451, 0.7102)
Cd (0.2500, 0.6423, 0.7153)
Ca (0.2500, 0.8549, 0.2898)
Pm (0.7500, 0.9521, 0.0944)
Pm (0.2500, 0.2344, 0.5307)
Cd (0.2500, 0.4514, 0.0956)
Pm (0.2500, 0.0479, 0.9056)
Cd (0.7500, 0.3577, 0.2847)

***

Below is a relaxed structure of ReClO2, with properties calculated at the PBE-GGA level.

Properties
The total DFT energy (no corrections) is -6.65 eV per atom. As for the space group: No. 166. Its energy relative to the elements, uncorrected is -2.40 eV/f.u.

Lattice parameters (Å, degrees): 8.8842 8.8842 8.8842 18.01 18.01 18.01
Atoms (fractional coordinates):
O (0.1174, 0.1174, 0.1174)
Cl (0.0000, 0.0000, 0.0000)
Re (0.5000, 0.5000, 0.5000)
O (0.8826, 0.8826, 0.8826)

***

Below is a relaxed structure of Tl2NiHgSe, with properties calculated at the PBE-GGA level.

Properties
The total DFT energy (no corrections) is -2.92 eV per atom. As for the space group: No. 123. Its energy relative to the elements, uncorrected is -0.28 eV/f.u.

Lattice parameters (Å, degrees): 5.4663 5.4663 4.5451 90.00 90.00 90.00
Atoms (fractional coordinates):
Tl (0.5000, 0.0000, 0.0000)
Ni (0.0000, 0.0000, 0.0000)
Se (0.0000, 0.0000, 0.5000)
Hg (0.5000, 0.5000, 0.5000)
Tl (0.0000, 0.5000, 0.0000)

***

Below is a relaxed structure of LiCa4Er3Te8, with properties calculated at the PBE-GGA level.

Properties
The total DFT energy (no corrections) is -4.49 eV per atom. As for the space group: No. 166. Its energy relative to the elements, uncorrected is -23.12 eV/f.u.

Lattice parameters (Å, degrees): 8.7925 8.8320 8.7929 119.86 120.00 90.00
Atoms (fractional coordinates):
Te (0.2451, 0.7383, 0.4901)
Ca (0.0000, 0.0000, 0.0000)
Er (0.0000, 0.5000, 0.5000)
Te (0.7483, 0.7383, 0.9933)
Te (0.2450, 0.7383, 0.9933)
Te (0.7550, 0.2617, 0.0067)
Te (0.2517, 0.2617, 0.0067)
Te (0.2527, 0.2581, 0.5054)
Ca (0.5000, 0.0000, 0.0000)
Li (0.0000, 0.5000, 0.0000)
Te (0.7473, 0.7419, 0.4946)
Ca (0.0000, 0.0000, 0.5000)
Ca (0.5000, 0.0000, 0.5000)
Er (0.5000, 0.5000, 0.5000)
Er (0.5000, 0.5000, 0.0000)
Te (0.7549, 0.2617, 0.5099)

***

Below is a relaxed structure of TmThCdTc, with properties calculated at the PBE-GGA level.

Properties
The total DFT energy (no corrections) is -5.86 eV per atom. As for the space group: No. 216. For the calculated formation energy, the calculation gives -0.063 eV/atom.

Lattice parameters (Å, degrees): 5.1213 5.1213 5.1213 60.00 60.00 60.00
Atoms (fractional coordinates):
Cd (0.2500, 0.2500, 0.2500)
Th (0.5000, 0.5000, 0.5000)
Tc (0.7500, 0.7500, 0.7500)
Tm (0.0000, 0.0000, 0.0000)

***

Below is a relaxed structure of SrTcNi2, with properties calculated at the PBE-GGA level.

Properties
The total DFT energy (no corrections) is -5.11 eV per atom. As for the space group: No. 119. For the calculated formation energy, the calculation gives 0.788 eV/atom.

Lattice parameters (Å, degrees): 5.2757 5.2757 5.2757 136.62 136.62 63.02
Atoms (fractional coordinates):
Tc (0.7500, 0.2500, 0.5000)
Ni (0.0000, 0.0000, 0.0000)
Ni (0.2500, 0.7500, 0.5000)
Sr (0.5000, 0.5000, 0.0000)

***

Below is a relaxed structure of PuHf2Pt, with properties calculated at the PBE-GGA level.

Properties
The total DFT energy (no corrections) is -10.29 eV per atom. As for the space group: No. 225. For the calculated formation energy, the calculation gives -0.222 eV/atom.

Lattice parameters (Å, degrees): 4.8349 4.8349 4.8349 60.00 60.00 60.00
Atoms (fractional coordinates):
Pu (0.5000, 0.5000, 0.5000)
Pt (0.0000, 0.0000, 0.0000)
Hf (0.2500, 0.2500, 0.2500)
Hf (0.7500, 0.7500, 0.7500)

***

Below is a relaxed structure of Y2OsCl, with properties calculated at the PBE-GGA level.

Properties
The total DFT energy (no corrections) is -6.15 eV per atom. As for the space group: No. 216. Its energy relative to the elements, uncorrected is 1.42 eV/f.u.

Lattice parameters (Å, degrees): 4.9397 4.9397 4.9397 60.00 60.00 60.00
Atoms (fractional coordinates):
Cl (0.5000, 0.5000, 0.5000)
Y (0.0000, 0.0000, 0.0000)
Os (0.7500, 0.7500, 0.7500)
Y (0.2500, 0.2500, 0.2500)

***

One value per record, in order, for magnetization: 0.000; 0.000; 0.000; 0.121; 0.007; 0.000; 0.000; 0.000; 0.000; 0.721; 1.604; 0.000 μB per atom.